This record from the Alexandria database describes an optimized crystal structure of Ho7Ga2Bi2. The functional is PBE.

a = 7.0805 Å, b = 6.8960 Å, c = 7.0805 Å
α = 90.00°, β = 98.82°, γ = 90.00°
Element x y z (fractional)
Ga  0.2727  0.9999  0.7273
Ga  0.7273  0.0001  0.2727
Bi  0.1988  0.5000  0.1988
Bi  0.8012  0.5000  0.8012
Ho  0.5000  0.2423  0.5000
Ho  0.5000  0.7577  0.5000
Ho  0.0000  0.0000  0.0000
Ho  0.5001  0.7504  0.0000
Ho  0.0000  0.2496  0.5001
Ho  0.4999  0.2496  0.0000
Ho  0.0000  0.7504  0.4999

Computed properties:
**ΔH_f (0 K)**: -0.26 eV/atom
**DOS at the Fermi energy**: 1.272 states/eV per atom

=====

This record from the Alexandria database describes an optimized crystal structure of HoGaBi. The functional is PBE.

a = 6.7401 Å, b = 6.7401 Å, c = 12.7752 Å
α = 90.00°, β = 90.00°, γ = 120.00°
Element x y z (fractional)
Ga  0.3972  0.7945  0.1667
Ga  0.6028  0.2055  0.1667
Ga  0.2055  0.6028  0.8333
Ga  0.7945  0.3972  0.8333
Ga  0.3972  0.6028  0.5000
Ga  0.6028  0.3972  0.5000
Ho  0.5000  0.5000  0.2824
Ho  0.5000  0.5000  0.7176
Ho  0.5000  0.0000  0.3842
Ho  0.0000  0.5000  0.6158
Ho  0.0000  0.5000  0.0509
Ho  0.5000  0.0000  0.9491
Bi  0.0000  0.5000  0.3333
Bi  0.5000  0.5000  0.0000
Bi  0.0000  0.0000  0.5000
Bi  0.0000  0.0000  0.8333
Bi  0.5000  0.0000  0.6667
Bi  0.0000  0.0000  0.1667

Computed properties:
**ΔH_f (0 K)**: -0.21 eV/atom
**DOS at the Fermi energy**: 0.608 states/eV per atom